(1)
# MnNbPd

A relaxed structure of MnNbPd (PBE, Alexandria via LeMat-Bulk).

Computed properties:
Its space group is I4mm (107). Its energy above the most stable polymorph in this dataset is 0.000 eV/atom. For the formation energy, the calculation gives -31.3 kJ/mol of formula units. As for the electronic total energy: -8.25 eV per atom.

a = 2.8617 Å, b = 2.8617 Å, c = 6.1258 Å
α = 103.51°, β = 103.51°, γ = 90.00°
Site moments in Bohr magnetons follow the coordinates.
Positions (direct):
Pd (0.3264, 0.3264, 0.6528)  0.11
Mn (0.6710, 0.6710, 0.3421)  3.35
Nb (0.0025, 0.0025, 0.0051)  -0.18



(2)
# MnNb2Pd

A relaxed structure of MnNb2Pd (PBE, Alexandria via LeMat-Bulk).

Computed properties:
Its space group is Fm-3m (225). Its energy above the most stable polymorph in this dataset is 0.179 eV/atom. For the formation energy, the calculation gives 9.0 kJ/mol of formula units. As for the electronic total energy: -8.60 eV per atom.

a = 4.4752 Å, b = 4.4752 Å, c = 4.4752 Å
α = 60.00°, β = 60.00°, γ = 60.00°
Positions (direct):
Nb (0.2500, 0.2500, 0.2500)
Nb (0.7500, 0.7500, 0.7500)
Mn (0.0000, 0.0000, 0.0000)
Pd (0.5000, 0.5000, 0.5000)



(3)
# MnNb2Pd7

A relaxed structure of MnNb2Pd7 (PBE, Alexandria via LeMat-Bulk).

Computed properties:
Its space group is Cmmm (65). For the formation energy, the calculation gives 160.6 kJ/mol of formula units. As for the electronic total energy: -6.40 eV per atom.

a = 2.7701 Å, b = 8.8394 Å, c = 8.8395 Å
α = 123.85°, β = 90.00°, γ = 90.00°
Site moments in Bohr magnetons follow the coordinates.
Positions (direct):
Nb (0.5000, 0.6689, 0.3311)  -0.14
Pd (0.5000, 0.1316, 0.3184)  0.06
Pd (0.5000, 0.6816, 0.8684)  0.06
Pd (0.5000, 0.8684, 0.6816)  0.06
Nb (0.5000, 0.3311, 0.6689)  -0.14
Pd (0.0000, 0.1868, 0.8132)  -0.01
Pd (0.0000, 0.8132, 0.1868)  -0.01
Pd (0.5000, 0.5000, 0.5000)  0.02
Mn (0.0000, 0.0000, 0.0000)  3.89
Pd (0.5000, 0.3184, 0.1316)  0.06



(4)
# MnNb2Pd

A relaxed structure of MnNb2Pd (PBE, Alexandria via LeMat-Bulk).

Computed properties:
Its space group is I-42d (122). Its energy above the most stable polymorph in this dataset is 0.513 eV/atom. For the formation energy, the calculation gives 138.0 kJ/mol of formula units. As for the electronic total energy: -8.27 eV per atom.

a = 7.0965 Å, b = 7.0965 Å, c = 5.6903 Å
α = 51.42°, β = 51.42°, γ = 90.00°
Site moments in Bohr magnetons follow the coordinates.
Positions (direct):
Mn (0.5000, 0.5000, 0.0000)  1.98
Nb (0.3750, 0.3907, 0.7500)  -0.17
Pd (0.7500, 0.2500, 0.5000)  0.04
Nb (0.1407, 0.6250, 0.2500)  -0.16
Nb (0.6093, 0.1250, 0.2500)  -0.17
Pd (0.0000, 0.0000, 0.0000)  0.04
Mn (0.2500, 0.7500, 0.5000)  1.98
Nb (0.8750, 0.8593, 0.7500)  -0.16



Q: What is the electronic total energy in the third record?
A: -6.40 eV per atom